# Nd4SnPbC

An optimized crystal structure of Nd4SnPbC (PBE, the Alexandria database).

Cell and atoms, written as POSCAR:
```
Nd4SnPbC
1.0
3.549 -8.321 0.000
3.549 8.321 0.000
0.000 0.000 7.092
Nd Sn Pb C
8 2 2 2
direct
0.000 0.500 0.000
0.000 0.500 0.500
0.087 0.913 0.750
0.411 0.589 0.750
0.500 0.000 0.000
0.500 0.000 0.500
0.589 0.411 0.250
0.913 0.087 0.250
0.111 0.889 0.250
0.889 0.111 0.750
0.391 0.609 0.250
0.609 0.391 0.750
0.250 0.750 0.750
0.750 0.250 0.250
```

Computed properties:
The space-group type is Cmcm, No. 63. The energy of formation from the pure elements is -0.48 eV per atom. For the total magnetization, the calculation gives 0.000 μB/atom. As for the raw total energy: -5.63 eV per atom. Its crystal system is orthorhombic.